Here is DyErInPd2 after structural relaxation from OQMD via LeMat-Bulk. Energies are from PBE.

Cell: 3.635 4.118 14.882 Å, 90.00 90.00 90.00°
Space group Amm2 (No. 38)
Inequivalent atoms, fractional coordinates:
1 Dy 0.000 0.000 0.000
2 Er 0.000 0.000 0.733
3 In 0.500 0.000 0.366
4 Pd 0.500 0.000 0.178
5 Pd 0.500 0.000 0.556

Values from the calculation:
Magnetic moment (μB per formula unit): 0.01
E_tot (eV per atom): -5.294
Volume (Å³ per cell): 222.75

=====

Here is DyErIn2Pd4 after structural relaxation from OQMD via LeMat-Bulk. Energies are from PBE.

Cell: 4.5857 4.5857 8.8799 Å, 90.00 90.00 120.00°
Space group P-6m2 (No. 187)
Inequivalent atoms, fractional coordinates:
1 Dy 0.0000 0.0000 0.0000
2 Er 0.6667 0.3333 0.5000
3 In 0.3333 0.6667 0.2512
4 Pd 0.0000 0.0000 0.3389
5 Pd 0.6667 0.3333 0.1636

Values from the calculation:
Magnetic moment (μB per formula unit): 0.00
E_tot (eV per atom): -5.243
Volume (Å³ per cell): 161.72

=====

- Look up the E_tot of the second one.
  -5.243 eV per atom

=====

- The highest E_tot belongs to which entry?
  DyErIn2Pd4

=====

- Number 1 is which compound?
  DyErInPd2

=====

- magnetic moment of number 1 (DyErInPd2)?
  0.01 μB per formula unit